[1]
Cs2CdI: optimized geometry, PBE.

Relative energy among the computed polymorphs (meV per atom): 116
Crystal system: trigonal

abc: 5.3065 5.3065 30.6411
angles: 90.00 90.00 120.00
Space group R3m (No. 160, hexagonal axes)
Inequivalent atoms, fractional coordinates:
1 Cs 0.0000 0.0000 0.0000 (multiplicity 3)
2 Cs 0.0000 0.0000 0.1579 (multiplicity 3)
3 Cd 0.0000 0.0000 0.5789 (multiplicity 3)
4 I 0.0000 0.0000 0.4126 (multiplicity 3)

[2]
Ba2YTl: optimized geometry, PBE.

Relative energy among the computed polymorphs (meV per atom): 184
Formation enthalpy at 0 K (eV/atom): 0.07
Crystal system: cubic

abc: 8.6813 8.6813 8.6813
angles: 90.00 90.00 90.00
Space group Fm-3m (No. 225)
Inequivalent atoms, fractional coordinates:
1 Ba 0.2500 0.2500 0.2500 (multiplicity 8)
2 Y 0.0000 0.0000 0.0000 (multiplicity 4)
3 Tl 0.0000 0.0000 0.5000 (multiplicity 4)